# Tl2SbF5 (meta-GGA SCAN, PBEsol geometry)
# Volume: 146 Å³/f.u.
# Calculated density: 7.1 g cm⁻³
# Formation energy without anion corrections: -2.18 eV per atom
# Spin magnetization: 0.0 μB per cell
# E_tot: -27.135 eV/atom
data_Tl2SbF5
_chemical_formula_sum 'Tl4 Sb2 F10'
_cell_length_a 7.591
_cell_length_b 7.591
_cell_length_c 6.635
_cell_angle_alpha 90.00
_cell_angle_beta 90.00
_cell_angle_gamma 129.98
_space_group_name_H-M_alt 'P 1'
_space_group_IT_number 1
_space_group_name_Hall 'P 1'
loop_
_atom_site_label
_atom_site_fract_x
_atom_site_fract_y
_atom_site_fract_z
Tl1 0.065 0.935 0.750
Tl2 0.253 0.747 0.250
Tl3 0.747 0.253 0.750
Tl4 0.935 0.065 0.250
Sb1 0.408 0.592 0.750
Sb2 0.592 0.408 0.250
F1 0.151 0.391 0.532
F2 0.151 0.391 0.968
F3 0.264 0.736 0.750
F4 0.391 0.151 0.032
F5 0.391 0.151 0.468
F6 0.609 0.849 0.532
F7 0.609 0.849 0.968
F8 0.736 0.264 0.250
F9 0.849 0.609 0.032
F10 0.849 0.609 0.468